No. 1
First-principles (GGA-PBE) data for a geometry-optimized Ce2ZrScAs4 structure, as listed in Alexandria.

Cell lengths 6.9869, 4.0391, 7.0026 Å; angles 90.00, 109.49, 90.00 degrees
Sites, in units of the cell vectors:
Ce  0.0000  0.0000  0.0000
Ce  0.0000  0.5000  0.5000
Zr  0.5000  0.0000  0.5000
Sc  0.5000  0.5000  0.0000
As  0.2696  0.5000  0.2560
As  0.2707  0.0000  0.7571
As  0.7293  0.0000  0.2429
As  0.7304  0.5000  0.7440

Values from the calculation:
As for the spin magnetization: 0.14 μB per atom. As for the space-group type: P2/m, No. 10. The value obtained for the formation energy is -1.348 eV per atom.

=====

No. 2
First-principles (GGA-PBE) data for a geometry-optimized CeZrSc2As4 structure, as listed in Alexandria.

Cell lengths 6.8236, 3.9662, 6.8759 Å; angles 90.00, 109.42, 90.00 degrees
Sites, in units of the cell vectors:
Ce  0.0000  0.0000  0.0000
Zr  0.0000  0.5000  0.5000
Sc  0.5000  0.0000  0.5000
Sc  0.5000  0.5000  0.0000
As  0.2568  0.0000  0.7437
As  0.2640  0.5000  0.2643
As  0.7360  0.5000  0.7357
As  0.7432  0.0000  0.2563

Values from the calculation:
As for the spin magnetization: 0.07 μB per atom. As for the space-group type: P2/m, No. 10. The value obtained for the formation energy is -1.311 eV per atom.

=====

No. 3
First-principles (GGA-PBE) data for a geometry-optimized Ce3Zr2ScAs6 structure, as listed in Alexandria.

Cell lengths 6.9849, 6.9849, 6.9875 Å; angles 99.59, 99.59, 119.99 degrees
Sites, in units of the cell vectors:
Ce  0.0000  0.0000  0.0000
Ce  0.3335  0.6665  0.0000
Ce  0.6665  0.3335  0.0000
Zr  0.1666  0.8334  0.5000
Zr  0.8334  0.1666  0.5000
Sc  0.5000  0.5000  0.5000
As  0.0909  0.4233  0.2697
As  0.2444  0.2444  0.7301
As  0.4233  0.0909  0.2697
As  0.5767  0.9091  0.7303
As  0.7556  0.7556  0.2699
As  0.9091  0.5767  0.7303

Values from the calculation:
As for the spin magnetization: 0.11 μB per atom. As for the space-group type: C2/m, No. 12. The value obtained for the formation energy is -1.334 eV per atom.

=====

No. 4
First-principles (GGA-PBE) data for a geometry-optimized CeAsSe structure, as listed in Alexandria.

Cell lengths 5.5465, 5.5465, 5.5465 Å; angles 138.42, 138.42, 60.26 degrees
Sites, in units of the cell vectors:
Ce  0.0000  0.0000  0.0000
As  0.6206  0.6206  0.0000
Se  0.3567  0.3567  0.0000

Values from the calculation:
The calculation puts the raw formation energy at -1.07 eV per atom. As for the spin magnetization: 0.26 μB per atom. As for the space-group type: I4mm, No. 107.